Below is a relaxed structure of MnTePbW2, with properties calculated at the GGA-PBE level.

The uncorrected formation energy is 13.9 eV per formula unit.

Unit cell a=5.008 b=5.008 c=5.727 alpha=90.00 beta=90.00 gamma=90.00
Site moments in Bohr magnetons follow the coordinates.
Sites, in units of the cell vectors:
Te  0.000  0.000  0.000  0.02
Mn  0.500  0.500  0.500  -0.21
W  0.500  0.000  0.000  -0.72
W  0.000  0.500  0.000  -0.72
Pb  0.000  0.000  0.500  0.03